[1]
NdTlCdSn | Alexandria | PBE | relaxed; E above lowest polymorph = 198 meV/atom; space-group type = F-43m (216); calculated volume = 110.71 Å³/cell
1.0
0.0000 3.8112 3.8112
3.8112 0.0000 3.8112
3.8112 3.8112 0.0000
Nd Tl Cd Sn
1 1 1 1
Cartesian
0.0000 0.0000 0.0000
1.9056 1.9056 1.9056
3.8112 3.8112 3.8112
5.7168 5.7168 5.7168

***

[2]
NdTlCdSn | Alexandria | PBE | relaxed; E above lowest polymorph = 0 meV/atom; space-group type = Pmmm (47); calculated volume = 106.90 Å³/cell
1.0
4.5758 0.0000 0.0000
0.0000 4.7197 0.0000
0.0000 0.0000 4.9501
Nd Tl Cd Sn
1 1 1 1
Cartesian
0.0000 0.0000 0.0000
2.2879 0.0000 2.4750
0.0000 2.3598 2.4750
2.2879 2.3598 0.0000

***

[3]
Nd2YCd2Sn2 | Alexandria | PBE | relaxed; space-group type = R-3m (166); calculated volume = 195.33 Å³/cell; final energy = -28.1 eV per cell
1.0
2.4952 1.4406 9.0570
-2.4952 1.4406 9.0570
0.0000 -2.8812 9.0570
Nd Y Cd Sn
2 1 2 2
Cartesian
0.0000 0.0000 3.5493
0.0000 0.0000 23.6216
0.0000 0.0000 0.0000
0.0000 0.0000 11.2050
0.0000 0.0000 15.9660
0.0000 0.0000 7.3289
0.0000 0.0000 19.8420

***

[4]
NdZrCdSn | Alexandria | PBE | relaxed; space-group type = F-43m (216); calculated volume = 100.94 Å³/cell; final energy = -19.4 eV per cell
1.0
0.0000 3.6956 3.6956
3.6956 0.0000 3.6956
3.6956 3.6956 0.0000
Nd Zr Cd Sn
1 1 1 1
Cartesian
0.0000 0.0000 0.0000
3.6956 3.6956 3.6956
1.8478 1.8478 1.8478
5.5434 5.5434 5.5434